This record from Alexandria via LeMat-Bulk describes SrLaCuRuO6 after structural relaxation. The functional is PBE.

Cell lengths 5.6718, 5.9393, 9.5095 Å; angles 90.00, 126.55, 90.00 degrees
Last column: nearest neighbours and their distance in Å.
Space group Pc (No. 7)
Unique sites:
1 Sr 0.0000 0.2089 0.0000 [2 per cell]  7 O 2.49-2.77
2 La 0.5176 0.3230 0.5005 [2 per cell]  8 O 2.44-2.72
3 Cu 0.7556 0.2196 0.2485 [2 per cell]  4 O 1.96-2.15
4 Ru 0.2536 0.2362 0.7472 [2 per cell]  6 O 1.97-2.00
5 O 0.0167 0.4888 0.2063 [2 per cell]  1 Ru 2.00
6 O 0.0943 0.2220 0.4956 [2 per cell]  1 Cu 1.96, 1 Ru 1.99
7 O 0.4385 0.2734 0.0003 [2 per cell]  1 Cu 1.96, 1 Ru 1.98
8 O 0.4720 0.0459 0.2925 [2 per cell]  1 Ru 1.97, 1 Cu 2.15
9 O 0.5614 0.4376 0.7814 [2 per cell]  1 Ru 1.98
10 O 0.9145 0.0652 0.7022 [2 per cell]  1 Ru 1.98, 1 Cu 2.08

formation energy without anion corrections: -1.916 eV/atom
V: 128.7 Å³/f.u.



This record from Alexandria via LeMat-Bulk describes La2CuS2O after structural relaxation. The functional is PBE.

Cell lengths 4.8583, 4.8583, 13.5721 Å; angles 90.00, 90.00, 90.00 degrees
Last column: nearest neighbours and their distance in Å.
Space group P4/mmm (No. 123)
Unique sites:
1 La 0.0000 0.0000 0.1586 [2 per cell]  1 O 2.15
2 Cu 0.0000 0.0000 0.5000 [1 per cell]  2 S 2.11
3 S 0.0000 0.0000 0.3447 [2 per cell]  1 Cu 2.11
4 O 0.0000 0.0000 0.0000 [1 per cell]  2 La 2.15

formation energy without anion corrections: -0.723 eV/atom
V: 320.3 Å³/f.u.



This record from Alexandria via LeMat-Bulk describes La2CuS2O2 after structural relaxation. The functional is PBE.

Cell lengths 4.0883, 4.0883, 10.9719 Å; angles 90.00, 90.00, 120.00 degrees
Last column: nearest neighbours and their distance in Å.
Space group P-3m1 (No. 164)
Unique sites:
1 La 0.3333 0.6667 0.1391 [2 per cell]  4 O 2.41-2.45
2 Cu 0.0000 0.0000 0.5000 [1 per cell]  2 S 2.09
3 S 0.0000 0.0000 0.3095 [2 per cell]  1 Cu 2.09
4 O 0.3333 0.6667 0.9192 [2 per cell]  4 La 2.41-2.45

formation energy without anion corrections: -2.113 eV/atom
V: 158.8 Å³/f.u.



This record from Alexandria via LeMat-Bulk describes La3CuS3O2 after structural relaxation. The functional is PBE.

Cell lengths 14.0805, 3.9422, 12.5742 Å; angles 90.00, 90.00, 90.00 degrees
Last column: nearest neighbours and their distance in Å.
Space group Pnma (No. 62)
Unique sites:
1 La 0.0774 0.2500 0.0998 [4 per cell]  4 O 2.38-2.52
2 La 0.1319 0.7500 0.5956 [4 per cell]  1 O 2.34
3 La 0.2080 0.7500 0.8878 [4 per cell]  3 O 2.31-2.40
4 Cu 0.0853 0.7500 0.3287 [4 per cell]  4 S 2.30-2.37
5 S 0.0561 0.2500 0.7634 [4 per cell]  1 Cu 2.30
6 S 0.0871 0.2500 0.4324 [4 per cell]  2 Cu 2.36
7 S 0.2179 0.7500 0.2124 [4 per cell]  1 Cu 2.37
8 O 0.0734 0.7500 0.9934 [4 per cell]  4 La 2.31-2.43
9 O 0.2289 0.2500 0.9938 [4 per cell]  4 La 2.34-2.52

formation energy without anion corrections: -2.425 eV/atom
V: 174.5 Å³/f.u.



What is the formula in the fourth record?
La3CuS3O2



Among the records above, which one has the highest V?
La2CuS2O